Entry 1:
First-principles (PBE) data for SiAg2PdCl after structural relaxation, as listed in the Alexandria database.

Computed properties:
Density of states at the Fermi level   2.256 states/eV/cell
Crystal system   tetragonal
Total moment   0.000 μB/cell
Formation energy from raw total energies   0.367 eV/atom
Theoretical density   5.18 Mg/m³

Lattice parameters (Å, degrees): 5.2545 4.4783 5.2545 90.00 90.00 90.00
Positions (direct):
Pd 0.0000 0.0000 0.0000
Ag 0.0000 0.0000 0.5000
Ag 0.5000 0.0000 0.0000
Si 0.0000 0.5000 0.0000
Cl 0.5000 0.5000 0.5000

Entry 2:
First-principles (PBE) data for AgSnPd2Cl after structural relaxation, as listed in the Alexandria database.

Computed properties:
Density of states at the Fermi level   0.478 states/eV/cell
Crystal system   tetragonal
Total moment   0.000 μB/cell
Formation energy from raw total energies   0.358 eV/atom
Theoretical density   5.92 Mg/m³

Lattice parameters (Å, degrees): 5.0108 5.3080 5.0108 90.00 90.00 90.00
Positions (direct):
Cl 0.0000 0.5000 0.0000
Pd 0.5000 0.0000 0.0000
Pd 0.0000 0.0000 0.5000
Sn 0.0000 0.0000 0.0000
Ag 0.5000 0.5000 0.5000